Record 1
An optimized crystal structure of Ba2TlGePd6, computed with GGA-PBE.

Cell: 6.826 6.826 8.687 Å, 125.53 125.53 50.13°
Fractional coordinates of all 10 atoms:
1 Ba 0.248 0.248 0.207
2 Ba 0.752 0.752 0.793
3 Tl 0.500 0.500 0.000
4 Ge 0.000 0.000 0.500
5 Pd 0.229 0.723 0.707
6 Pd 0.247 0.247 0.606
7 Pd 0.277 0.771 0.293
8 Pd 0.723 0.229 0.707
9 Pd 0.753 0.753 0.394
10 Pd 0.771 0.277 0.293

N(E_F): 2.4 states/eV/cell
V: 23.83 Å³ per atom
formation energy: -0.512 eV/atom
SG: C2/m, No. 12



Record 2
An optimized crystal structure of Ba2TlGePd, computed with GGA-PBE.

Cell: 6.189 6.189 4.778 Å, 90.00 90.00 90.00°
Fractional coordinates of all 5 atoms:
1 Ba 0.000 0.500 0.000
2 Ba 0.500 0.000 0.000
3 Tl 0.000 0.000 0.500
4 Ge 0.500 0.500 0.500
5 Pd 0.500 0.500 0.000

N(E_F): 2.7 states/eV/cell
V: 36.61 Å³ per atom
formation energy: -0.407 eV/atom
SG: P4/mmm, No. 123



Record 3
An optimized crystal structure of BaZnGePd3, computed with GGA-PBE.

Cell: 8.053 8.053 6.210 Å, 90.00 90.00 135.63°
Fractional coordinates of all 12 atoms:
1 Ba 0.229 0.771 0.750
2 Ba 0.771 0.229 0.250
3 Zn 0.402 0.598 0.250
4 Zn 0.598 0.402 0.750
5 Ge 0.073 0.927 0.250
6 Ge 0.927 0.073 0.750
7 Pd 0.235 0.765 0.250
8 Pd 0.260 0.260 0.000
9 Pd 0.260 0.260 0.500
10 Pd 0.740 0.740 0.000
11 Pd 0.740 0.740 0.500
12 Pd 0.765 0.235 0.750

N(E_F): 3.0 states/eV/cell
V: 23.47 Å³ per atom
formation energy: -0.456 eV/atom
SG: Cmcm, No. 63



Record 4
An optimized crystal structure of Ba2Zn3Ge4Pd, computed with GGA-PBE.

Cell: 4.529 4.529 10.768 Å, 90.00 90.00 90.00°
Fractional coordinates of all 10 atoms:
1 Ba 0.000 0.500 0.249
2 Ba 0.500 0.000 0.751
3 Zn 0.000 0.000 0.000
4 Zn 0.000 0.500 0.631
5 Zn 0.500 0.000 0.369
6 Ge 0.000 0.000 0.500
7 Ge 0.000 0.500 0.878
8 Ge 0.500 0.000 0.122
9 Ge 0.500 0.500 0.500
10 Pd 0.500 0.500 0.000

N(E_F): 3.4 states/eV/cell
V: 22.08 Å³ per atom
formation energy: -0.430 eV/atom
SG: P-4m2, No. 115



Record 5
An optimized crystal structure of BaZnGe2Pd, computed with GGA-PBE.

Cell: 6.289 6.289 6.289 Å, 138.15 138.15 60.67°
Fractional coordinates of all 5 atoms:
1 Ba 0.000 0.000 0.000
2 Zn 0.250 0.750 0.500
3 Ge 0.373 0.373 0.000
4 Ge 0.627 0.627 0.000
5 Pd 0.750 0.250 0.500

N(E_F): 3.0 states/eV/cell
V: 21.90 Å³ per atom
formation energy: -0.513 eV/atom
SG: I-4m2, No. 119



Record 6
An optimized crystal structure of BaPmGe2, computed with GGA-PBE.

Cell: 5.676 5.676 3.495 Å, 90.00 90.00 90.00°
Fractional coordinates of all 4 atoms:
1 Ba 0.000 0.000 0.000
2 Pm 0.500 0.500 0.000
3 Ge 0.000 0.500 0.500
4 Ge 0.500 0.000 0.500

N(E_F): 2.4 states/eV/cell
V: 28.15 Å³ per atom
formation energy: -0.373 eV/atom
SG: P4/mmm, No. 123